Material: ZrMnReMo
Method: DFT, PBE
State: optimized geometry

```
data_ZrMnReMo
_cell_length_a 6.313
_cell_length_b 6.313
_cell_length_c 6.313
_cell_angle_alpha 90.00
_cell_angle_beta 90.00
_cell_angle_gamma 90.00
_symmetry_space_group_name_H-M 'F -4 3 m'
_symmetry_Int_Tables_number 216
_symmetry_space_group_name_Hall 'F -4 2 3'
loop_
_atom_site_label
_atom_site_type_symbol
_atom_site_fract_x
_atom_site_fract_y
_atom_site_fract_z
Zr1 Zr 0.000 0.000 0.000
Mn1 Mn 0.250 0.250 0.250
Re1 Re 0.250 0.250 0.750
Mo1 Mo 0.000 0.000 0.500
```

Properties
The density of states at the Fermi level comes out at 6.674 states/eV per cell. As for the formation energy: -0.039 eV per atom. The uncorrected energy comes out at -10.29 eV per atom. The volume comes out at 62.9 Å³/f.u. As for the magnetic moment: 0.00 μB/f.u.